Record 1
DFT (meta-GGA SCAN) results for a crystal of Li2Al2Sb relaxed with PBEsol.

```
data_Li2Al2Sb
_chemical_formula_sum 'Li4 Al4 Sb2'
_cell_length_a 7.829
_cell_length_b 7.829
_cell_length_c 3.003
_cell_angle_alpha 90.00
_cell_angle_beta 90.00
_cell_angle_gamma 90.00
_space_group_name_H-M_alt 'P 4/m b m'
_space_group_IT_number 127
_space_group_name_Hall '-P 4 2ab'
loop_
_atom_site_label
_atom_site_type_symbol
_atom_site_fract_x
_atom_site_fract_y
_atom_site_fract_z
_atom_site_occupancy
Li1 Li 0.178 0.322 0.000 1
Al1 Al 0.120 0.620 0.500 1
Sb1 Sb 0.000 0.000 0.500 1
```

## Properties
* E_form (uncorrected): -0.282 eV per formula unit

***

Record 2
DFT (meta-GGA SCAN) results for a crystal of NaNdF4 relaxed with PBEsol.

```
data_NaNdF4
_chemical_formula_sum 'Na3 Nd3 F12'
_cell_length_a 6.076
_cell_length_b 7.078
_cell_length_c 7.084
_cell_angle_alpha 62.66
_cell_angle_beta 64.74
_cell_angle_gamma 64.75
_space_group_name_H-M_alt 'P 1'
_space_group_IT_number 1
loop_
_space_group_symop_operation_xyz
'x,y,z'
loop_
_atom_site_label
_atom_site_type_symbol
_atom_site_fract_x
_atom_site_fract_y
_atom_site_fract_z
_atom_site_occupancy
Na1 Na 0.000 0.000 0.000 1
Na2 Na 0.003 0.478 0.487 1
Na3 Na 0.668 0.429 0.221 1
Nd1 Nd 0.334 0.499 0.821 1
Nd2 Nd 0.340 0.998 0.314 1
Nd3 Nd 0.673 0.920 0.725 1
F1 F 0.092 0.242 0.061 1
F2 F 0.092 0.733 0.548 1
F3 F 0.312 0.888 0.700 1
F4 F 0.318 0.379 0.200 1
F5 F 0.375 0.279 0.632 1
F6 F 0.384 0.819 0.086 1
F7 F 0.593 0.623 0.447 1
F8 F 0.614 0.129 0.940 1
F9 F 0.701 0.543 0.817 1
F10 F 0.704 0.005 0.348 1
F11 F 0.928 0.708 0.975 1
F12 F 0.932 0.165 0.511 1
```

## Properties
* E_form (uncorrected): -23.691 eV per formula unit

***

Record 3
DFT (meta-GGA SCAN) results for a crystal of TaSN2F relaxed with PBEsol.

```
data_TaSN2F
_chemical_formula_sum 'Ta1 S1 N2 F1'
_cell_length_a 4.065
_cell_length_b 4.065
_cell_length_c 3.937
_cell_angle_alpha 90.00
_cell_angle_beta 90.00
_cell_angle_gamma 90.00
_space_group_name_H-M_alt 'P 4/m m m'
_space_group_IT_number 123
_space_group_name_Hall '-P 4 2'
loop_
_atom_site_label
_atom_site_type_symbol
_atom_site_fract_x
_atom_site_fract_y
_atom_site_fract_z
_atom_site_occupancy
Ta1 Ta 0.000 0.000 0.000 1
S1 S 0.500 0.500 0.500 1
N1 N 0.000 0.500 0.000 1
F1 F 0.000 0.000 0.500 1
```

## Properties
* E_form (uncorrected): -0.513 eV per formula unit
* energy relative to the lowest polymorph listed for this composition: 0.000 eV per atom

***

Record 4
DFT (meta-GGA SCAN) results for a crystal of Tl3In5 relaxed with PBEsol.

```
data_Tl3In5
_chemical_formula_sum 'Tl12 In20'
_cell_length_a 12.067
_cell_length_b 12.067
_cell_length_c 5.942
_cell_angle_alpha 90.00
_cell_angle_beta 90.00
_cell_angle_gamma 90.00
_space_group_name_H-M_alt 'I 4/m c m'
_space_group_IT_number 140
_space_group_name_Hall '-I 4 2c'
loop_
_atom_site_label
_atom_site_type_symbol
_atom_site_fract_x
_atom_site_fract_y
_atom_site_fract_z
_atom_site_occupancy
Tl1 Tl 0.000 0.000 0.250 1
Tl2 Tl 0.187 0.313 0.000 1
In1 In 0.000 0.500 0.250 1
In2 In 0.060 0.245 0.500 1
```

## Properties
* DFT formation energy: 0.100 eV/atom

***

Record 5
DFT (meta-GGA SCAN) results for a crystal of Zr5Ir relaxed with PBEsol.

```
data_Zr5Ir
_chemical_formula_sum 'Zr10 Ir2'
_cell_length_a 3.241
_cell_length_b 14.835
_cell_length_c 4.983
_cell_angle_alpha 90.00
_cell_angle_beta 90.00
_cell_angle_gamma 90.00
_space_group_name_H-M_alt 'C m m m'
_space_group_IT_number 65
_space_group_name_Hall '-C 2 2'
loop_
_atom_site_label
_atom_site_type_symbol
_atom_site_fract_x
_atom_site_fract_y
_atom_site_fract_z
_atom_site_occupancy
Zr1 Zr 0.000 0.000 0.000 1
Zr2 Zr 0.000 0.154 0.500 1
Zr3 Zr 0.000 0.335 0.000 1
Ir1 Ir 0.000 0.500 0.500 1
```

## Properties
* DFT formation energy: -0.292 eV/atom
* energy relative to the lowest polymorph listed for this composition: 0.070 eV per atom

***

Record 6
DFT (meta-GGA SCAN) results for a crystal of MnBi2PBr relaxed with PBEsol.

```
data_MnBi2PBr
_chemical_formula_sum 'Mn1 Bi2 P1 Br1'
_cell_length_a 5.672
_cell_length_b 5.672
_cell_length_c 4.464
_cell_angle_alpha 90.00
_cell_angle_beta 90.00
_cell_angle_gamma 90.00
_space_group_name_H-M_alt 'P 4/m m m'
_space_group_IT_number 123
_space_group_name_Hall '-P 4 2'
loop_
_atom_site_label
_atom_site_type_symbol
_atom_site_fract_x
_atom_site_fract_y
_atom_site_fract_z
_atom_site_occupancy
Mn1 Mn 0.000 0.000 0.000 1
Bi1 Bi 0.000 0.500 0.500 1
P1 P 0.500 0.500 0.000 1
Br1 Br 0.000 0.000 0.500 1
```

## Properties
* E_form (uncorrected): 5.796 eV per formula unit

***

Record 7
DFT (meta-GGA SCAN) results for a crystal of Li2La2Sn relaxed with PBEsol.

```
data_Li2La2Sn
_chemical_formula_sum 'Li4 La4 Sn2'
_cell_length_a 7.022
_cell_length_b 7.022
_cell_length_c 4.970
_cell_angle_alpha 90.00
_cell_angle_beta 90.00
_cell_angle_gamma 90.00
_space_group_name_H-M_alt 'P 4/m b m'
_space_group_IT_number 127
_space_group_name_Hall '-P 4 2ab'
loop_
_atom_site_label
_atom_site_type_symbol
_atom_site_fract_x
_atom_site_fract_y
_atom_site_fract_z
_atom_site_occupancy
Li1 Li 0.135 0.365 0.000 1
La1 La 0.176 0.676 0.500 1
Sn1 Sn 0.000 0.000 0.000 1
```

## Properties
* DFT formation energy: -0.381 eV/atom

***

Record 8
DFT (meta-GGA SCAN) results for a crystal of Na2CdTePb relaxed with PBEsol.

```
data_Na2CdTePb
_chemical_formula_sum 'Na2 Cd1 Te1 Pb1'
_cell_length_a 5.561
_cell_length_b 5.561
_cell_length_c 6.270
_cell_angle_alpha 90.00
_cell_angle_beta 90.00
_cell_angle_gamma 90.00
_space_group_name_H-M_alt 'P 4/m m m'
_space_group_IT_number 123
_space_group_name_Hall '-P 4 2'
loop_
_atom_site_label
_atom_site_type_symbol
_atom_site_fract_x
_atom_site_fract_y
_atom_site_fract_z
_atom_site_occupancy
Na1 Na 0.000 0.500 0.000 1
Cd1 Cd 0.000 0.000 0.500 1
Te1 Te 0.500 0.500 0.000 1
Pb1 Pb 0.500 0.500 0.500 1
```

## Properties
* E_form (uncorrected): -0.382 eV per formula unit

***

Record 9
DFT (meta-GGA SCAN) results for a crystal of CaP2H8C2O6 relaxed with PBEsol.

```
data_CaP2H8C2O6
_chemical_formula_sum 'Ca4 P8 H32 C8 O24'
_cell_length_a 20.443
_cell_length_b 5.651
_cell_length_c 7.136
_cell_angle_alpha 90.00
_cell_angle_beta 107.43
_cell_angle_gamma 90.00
_space_group_name_H-M_alt 'C 1 2/c 1'
_space_group_IT_number 15
loop_
_space_group_symop_operation_xyz
'x,y,z'
'-x,-y,-z'
'-x,y,-z+1/2'
'x,-y,z+1/2'
'x+1/2,y+1/2,z'
'-x+1/2,-y+1/2,-z'
'-x+1/2,y+1/2,-z+1/2'
'x+1/2,-y+1/2,z+1/2'
loop_
_atom_site_label
_atom_site_type_symbol
_atom_site_fract_x
_atom_site_fract_y
_atom_site_fract_z
_atom_site_occupancy
Ca1 Ca 0.000 0.133 0.250 1
P1 P 0.102 0.322 0.944 1
H1 H 0.101 0.306 0.620 1
H2 H 0.173 0.325 0.277 1
H3 H 0.194 0.089 0.138 1
H4 H 0.222 0.385 0.108 1
C1 C 0.180 0.278 0.135 1
O1 O 0.045 0.170 0.983 1
O2 O 0.084 0.413 0.423 1
O3 O 0.118 0.221 0.757 1
```

## Properties
* total DFT energy (no corrections): -571.62 eV for the cell shown

***

Record 10
DFT (meta-GGA SCAN) results for a crystal of ZrGeSeN2 relaxed with PBEsol.

```
data_ZrGeSeN2
_chemical_formula_sum 'Zr1 Ge1 Se1 N2'
_cell_length_a 3.829
_cell_length_b 3.829
_cell_length_c 4.838
_cell_angle_alpha 90.00
_cell_angle_beta 90.00
_cell_angle_gamma 90.00
_space_group_name_H-M_alt 'P 4/m m m'
_space_group_IT_number 123
_space_group_name_Hall '-P 4 2'
loop_
_atom_site_label
_atom_site_type_symbol
_atom_site_fract_x
_atom_site_fract_y
_atom_site_fract_z
_atom_site_occupancy
Zr1 Zr 0.000 0.000 0.000 1
Ge1 Ge 0.500 0.500 0.500 1
Se1 Se 0.500 0.500 0.000 1
N1 N 0.000 0.500 0.500 1
```

## Properties
* E_form (uncorrected): 2.465 eV per formula unit
* energy relative to the lowest polymorph listed for this composition: 0.264 eV per atom

***

Record 11
DFT (meta-GGA SCAN) results for a crystal of BaSr2 relaxed with PBEsol.

```
data_BaSr2
_chemical_formula_sum 'Ba1 Sr2'
_cell_length_a 6.736
_cell_length_b 6.736
_cell_length_c 4.397
_cell_angle_alpha 90.00
_cell_angle_beta 90.00
_cell_angle_gamma 90.00
_space_group_name_H-M_alt 'P 4/m m m'
_space_group_IT_number 123
_space_group_name_Hall '-P 4 2'
loop_
_atom_site_label
_atom_site_type_symbol
_atom_site_fract_x
_atom_site_fract_y
_atom_site_fract_z
_atom_site_occupancy
Ba1 Ba 0.000 0.000 0.000 1
Sr1 Sr 0.000 0.500 0.500 1
```

## Properties
* DFT formation energy: 0.386 eV/atom
* energy relative to the lowest polymorph listed for this composition: 0.396 eV per atom